DFT (GGA-PBE) results for a relaxed structure of DyCo3.

Unit cell a=4.724 b=4.724 c=4.724 alpha=131.89 beta=131.89 gamma=70.40
Element x y z (fractional)
Dy (0.000, 0.000, 0.000)
Co (0.250, 0.750, 0.500)
Co (0.500, 0.500, 0.000)
Co (0.750, 0.250, 0.500)

Calculated values
Excess energy over the best structure of this formula in the dataset = 0.468 eV/atom
Formation enthalpy at 0 K = 1.17 eV/f.u.
SG = I4/mmm

***

DFT (GGA-PBE) results for a relaxed structure of Pm7SeI12.

Unit cell a=9.879 b=9.879 c=9.879 alpha=108.02 beta=108.02 gamma=108.02
Element x y z (fractional)
Pm (0.000, 0.000, 0.000)
Pm (0.187, 0.392, 0.462)
Pm (0.392, 0.462, 0.187)
Pm (0.462, 0.187, 0.392)
Pm (0.538, 0.813, 0.608)
Pm (0.608, 0.538, 0.813)
Pm (0.813, 0.608, 0.538)
Se (0.500, 0.500, 0.500)
I (0.027, 0.347, 0.109)
I (0.109, 0.027, 0.347)
I (0.187, 0.727, 0.577)
I (0.273, 0.423, 0.813)
I (0.347, 0.109, 0.027)
I (0.423, 0.813, 0.273)
I (0.577, 0.187, 0.727)
I (0.653, 0.891, 0.973)
I (0.727, 0.577, 0.187)
I (0.813, 0.273, 0.423)
I (0.891, 0.973, 0.653)
I (0.973, 0.653, 0.891)

Calculated values
SG = R-3

***

DFT (GGA-PBE) results for a relaxed structure of BaHgGe2Pd.

Unit cell a=4.655 b=4.655 c=10.895 alpha=90.00 beta=90.00 gamma=90.00
Element x y z (fractional)
Ba (0.250, 0.250, 0.243)
Ba (0.750, 0.750, 0.757)
Hg (0.250, 0.750, 0.500)
Hg (0.750, 0.250, 0.500)
Ge (0.250, 0.250, 0.659)
Ge (0.250, 0.750, 0.000)
Ge (0.750, 0.250, 0.000)
Ge (0.750, 0.750, 0.341)
Pd (0.250, 0.250, 0.891)
Pd (0.750, 0.750, 0.109)

Calculated values
SG = P4/nmm

***

DFT (GGA-PBE) results for a relaxed structure of ErAlGe.

Unit cell a=4.630 b=4.630 c=4.630 alpha=60.00 beta=60.00 gamma=60.00
Element x y z (fractional)
Er (0.000, 0.000, 0.000)
Al (0.250, 0.250, 0.250)
Ge (0.500, 0.500, 0.500)

Calculated values
SG = F-43m

***

DFT (GGA-PBE) results for a relaxed structure of TbScTe3Pb.

Unit cell a=7.890 b=7.890 c=11.754 alpha=90.00 beta=90.00 gamma=148.33
Element x y z (fractional)
Tb (0.000, 0.000, 0.000)
Tb (0.000, 0.000, 0.500)
Sc (0.460, 0.540, 0.750)
Sc (0.540, 0.460, 0.250)
Te (0.084, 0.916, 0.750)
Te (0.357, 0.643, 0.545)
Te (0.357, 0.643, 0.955)
Te (0.643, 0.357, 0.045)
Te (0.643, 0.357, 0.455)
Te (0.916, 0.084, 0.250)
Pb (0.207, 0.793, 0.250)
Pb (0.793, 0.207, 0.750)

Calculated values
SG = Cmcm

***

DFT (GGA-PBE) results for a relaxed structure of ErMgGa.

Unit cell a=4.711 b=4.711 c=4.711 alpha=60.00 beta=60.00 gamma=60.00
Element x y z (fractional)
Er (0.000, 0.000, 0.000)
Mg (0.500, 0.500, 0.500)
Ga (0.250, 0.250, 0.250)

Calculated values
SG = F-43m

***

E list, top to bottom, in eV/cell: -24.8; -82.9; -38.4; -13.0; -58.8; -10.1